(1)
Entry from Alexandria via LeMat-Bulk: a relaxed SrCd8Pb3 crystal (PBE-GGA).

Its size of the total moment is 0.0 Bohr magnetons per cell. For the density, the calculation gives 8.5 g/cm³. The uncorrected energy is -1.78 eV/atom.

Unit cell a=6.059 b=6.059 c=9.936 alpha=90.00 beta=90.00 gamma=120.00
Sites, in units of the cell vectors:
Cd  0.504  0.007  0.755
Cd  0.163  0.837  0.250
Cd  0.333  0.667  0.005
Cd  0.993  0.496  0.755
Cd  0.504  0.496  0.755
Cd  0.163  0.326  0.250
Cd  0.674  0.837  0.250
Cd  0.333  0.667  0.501
Sr  0.000  0.000  0.561
Pb  0.667  0.333  0.424
Pb  0.000  0.000  0.927
Pb  0.667  0.333  0.066

---

(2)
Entry from Alexandria via LeMat-Bulk: a relaxed SrCd6Pb12 crystal (PBE-GGA).

Its size of the total moment is 0.0 Bohr magnetons per cell. For the density, the calculation gives 9.4 g/cm³. The uncorrected energy is -2.70 eV/atom.

Unit cell a=9.070 b=9.070 c=9.070 alpha=109.47 beta=109.47 gamma=109.47
Sites, in units of the cell vectors:
Cd  0.637  0.500  0.137
Cd  0.137  0.637  0.500
Cd  0.500  0.863  0.363
Cd  0.863  0.363  0.500
Cd  0.363  0.500  0.863
Cd  0.500  0.137  0.637
Pb  0.725  0.910  0.185
Pb  0.815  0.725  0.539
Pb  0.461  0.185  0.275
Pb  0.185  0.725  0.910
Pb  0.275  0.090  0.815
Pb  0.725  0.539  0.815
Pb  0.539  0.815  0.725
Pb  0.185  0.275  0.461
Pb  0.275  0.461  0.185
Pb  0.815  0.275  0.090
Pb  0.090  0.815  0.275
Pb  0.910  0.185  0.725
Sr  0.000  0.000  0.000

---

(3)
Entry from Alexandria via LeMat-Bulk: a relaxed SrCd2Pb crystal (PBE-GGA).

Its size of the total moment is 0.0 Bohr magnetons per cell. For the density, the calculation gives 7.5 g/cm³. The uncorrected energy is -2.05 eV/atom.

Unit cell a=5.451 b=5.451 c=5.451 alpha=119.75 beta=119.75 gamma=90.43
Sites, in units of the cell vectors:
Pb  0.500  0.500  0.000
Sr  0.750  0.250  0.500
Cd  0.000  0.000  0.000
Cd  0.250  0.750  0.500

---

(4)
Entry from Alexandria via LeMat-Bulk: a relaxed Sr2Cd16Pb crystal (PBE-GGA).

Its size of the total moment is 0.0 Bohr magnetons per cell. For the density, the calculation gives 7.7 g/cm³. The uncorrected energy is -1.30 eV/atom.

Unit cell a=7.824 b=7.824 c=7.824 alpha=83.67 beta=83.67 gamma=83.67
Sites, in units of the cell vectors:
Cd  0.694  0.998  0.307
Cd  0.998  0.307  0.694
Cd  0.643  0.643  0.170
Cd  0.643  0.170  0.643
Cd  0.998  0.694  0.307
Cd  0.007  0.488  0.007
Cd  0.694  0.307  0.998
Cd  0.104  0.104  0.104
Cd  0.007  0.007  0.488
Cd  0.353  0.832  0.353
Cd  0.353  0.353  0.832
Cd  0.307  0.998  0.694
Cd  0.832  0.353  0.353
Cd  0.307  0.694  0.998
Cd  0.488  0.007  0.007
Cd  0.170  0.643  0.643
Pb  0.900  0.900  0.900
Sr  0.338  0.338  0.338
Sr  0.662  0.662  0.662

---

(5)
Entry from Alexandria via LeMat-Bulk: a relaxed SrCd4Pb crystal (PBE-GGA).

Its energy above the most stable polymorph in this dataset is 47 meV/atom. Its size of the total moment is 0.0 Bohr magnetons per cell. For the density, the calculation gives 7.6 g/cm³. The uncorrected energy is -1.70 eV/atom.

Unit cell a=6.132 b=6.132 c=6.132 alpha=60.00 beta=60.00 gamma=60.00
Sites, in units of the cell vectors:
Cd  0.125  0.625  0.625
Cd  0.625  0.625  0.125
Cd  0.625  0.625  0.625
Cd  0.625  0.125  0.625
Pb  0.250  0.250  0.250
Sr  0.000  0.000  0.000

---

(6)
Entry from Alexandria via LeMat-Bulk: a relaxed SrCdPb3 crystal (PBE-GGA).

Its energy above the most stable polymorph in this dataset is 0 meV/atom. Its size of the total moment is 0.0 Bohr magnetons per cell. For the density, the calculation gives 8.6 g/cm³. The uncorrected energy is -2.95 eV/atom.

Unit cell a=5.768 b=6.823 c=9.066 alpha=108.92 beta=108.55 gamma=90.00
Sites, in units of the cell vectors:
Pb  0.970  0.237  0.940
Pb  0.030  0.763  0.060
Pb  0.367  0.106  0.734
Pb  0.196  0.216  0.392
Pb  0.804  0.784  0.608
Pb  0.633  0.894  0.266
Sr  0.598  0.364  0.195
Sr  0.402  0.636  0.805
Cd  0.200  0.695  0.400
Cd  0.800  0.305  0.600

---

(7)
Entry from Alexandria via LeMat-Bulk: a relaxed SrCd3Pb crystal (PBE-GGA).

Its energy above the most stable polymorph in this dataset is 41 meV/atom. Its size of the total moment is 0.0 Bohr magnetons per cell. For the density, the calculation gives 7.2 g/cm³. The uncorrected energy is -1.84 eV/atom.

Unit cell a=6.656 b=6.549 c=13.333 alpha=90.00 beta=90.00 gamma=90.00
Sites, in units of the cell vectors:
Cd  0.250  0.750  0.007
Cd  0.513  0.998  0.354
Cd  0.013  0.498  0.646
Cd  0.250  0.250  0.493
Cd  0.987  0.498  0.146
Cd  0.487  0.002  0.646
Cd  0.513  0.002  0.146
Cd  0.013  0.502  0.854
Cd  0.750  0.250  0.993
Cd  0.987  0.502  0.354
Cd  0.750  0.750  0.507
Cd  0.487  0.998  0.854
Pb  0.750  0.250  0.504
Pb  0.750  0.750  0.996
Pb  0.250  0.250  0.004
Pb  0.250  0.750  0.496
Sr  0.509  0.500  0.750
Sr  0.009  0.000  0.250
Sr  0.491  0.500  0.250
Sr  0.991  0.000  0.750

---

(8)
Entry from Alexandria via LeMat-Bulk: a relaxed SrCd3Pb crystal (PBE-GGA).

Its energy above the most stable polymorph in this dataset is 920 meV/atom. Its size of the total moment is 0.0 Bohr magnetons per cell. For the density, the calculation gives 4.8 g/cm³. The uncorrected energy is -0.96 eV/atom.

Unit cell a=6.022 b=6.022 c=6.022 alpha=90.00 beta=90.00 gamma=90.00
Sites, in units of the cell vectors:
Cd  0.500  0.000  0.000
Cd  0.000  0.500  0.000
Cd  0.000  0.000  0.500
Sr  0.000  0.000  0.000
Pb  0.500  0.500  0.500

---

(9)
Entry from Alexandria via LeMat-Bulk: a relaxed Sr2Cd6Pb3 crystal (PBE-GGA).

Its size of the total moment is 0.0 Bohr magnetons per cell. For the density, the calculation gives 7.4 g/cm³. The uncorrected energy is -1.96 eV/atom.

Unit cell a=4.871 b=8.923 c=8.923 alpha=58.27 beta=90.00 gamma=90.00
Sites, in units of the cell vectors:
Pb  0.500  0.000  0.000
Pb  0.000  0.268  0.268
Pb  0.000  0.732  0.732
Cd  0.500  0.652  0.014
Cd  0.500  0.348  0.986
Cd  0.500  0.402  0.402
Cd  0.500  0.598  0.598
Cd  0.500  0.986  0.348
Cd  0.500  0.014  0.652
Sr  0.000  0.268  0.732
Sr  0.000  0.732  0.268

---

(10)
Entry from Alexandria via LeMat-Bulk: a relaxed SrCdPb2 crystal (PBE-GGA).

Its size of the total moment is 0.0 Bohr magnetons per cell. For the density, the calculation gives 8.0 g/cm³. The uncorrected energy is -2.77 eV/atom.

Unit cell a=5.647 b=5.647 c=5.647 alpha=60.00 beta=60.00 gamma=60.00
Sites, in units of the cell vectors:
Pb  0.250  0.250  0.250
Pb  0.000  0.000  0.000
Cd  0.500  0.500  0.500
Sr  0.750  0.750  0.750

---

(11)
Entry from Alexandria via LeMat-Bulk: a relaxed SrCd3Pb crystal (PBE-GGA).

Its energy above the most stable polymorph in this dataset is 414 meV/atom. Its size of the total moment is 0.0 Bohr magnetons per cell. For the density, the calculation gives 5.5 g/cm³. The uncorrected energy is -1.46 eV/atom.

Unit cell a=5.755 b=5.755 c=5.755 alpha=90.00 beta=90.00 gamma=90.00
Sites, in units of the cell vectors:
Cd  0.500  0.000  0.000
Cd  0.000  0.500  0.000
Cd  0.000  0.000  0.500
Pb  0.000  0.000  0.000
Sr  0.500  0.500  0.500

---

(12)
Entry from Alexandria via LeMat-Bulk: a relaxed SrCdPb2 crystal (PBE-GGA).

Its size of the total moment is 0.0 Bohr magnetons per cell. For the density, the calculation gives 8.4 g/cm³. The uncorrected energy is -2.82 eV/atom.

Unit cell a=5.008 b=5.008 c=4.824 alpha=90.00 beta=90.00 gamma=90.01
Sites, in units of the cell vectors:
Cd  0.000  0.500  0.500
Sr  0.500  0.000  0.500
Pb  0.500  0.500  0.000
Pb  0.000  0.000  0.000

---

Q: Among the records above, which one has the lowest uncorrected energy?
A: SrCdPb3